VASP calculation (PBE-GGA) on a geometry-optimized HfTeH3 structure.

a b c (Å): 3.891 3.891 3.891
angles (deg): 90.00 90.00 90.00
Positions (direct):
Hf: 0.000 0.000 0.000
Te: 0.500 0.500 0.500
H: 0.000 0.000 0.500
H: 0.000 0.500 0.000
H: 0.500 0.000 0.000

Output
As for the theoretical density: 8.71 g cm⁻³. Its symmetry is Pm-3m (221). The value obtained for the electronic total energy is -4.604 eV per atom. The calculation puts the size of the total moment at 0.00 μB/cell.

VASP calculation (PBE-GGA) on a geometry-optimized Hf4Te5H2 structure.

a b c (Å): 10.475 10.475 10.475
angles (deg): 160.28 135.84 48.79
Positions (direct):
Hf: 0.135 0.135 0.000
Hf: 0.199 0.500 0.699
Hf: 0.801 0.500 0.301
Hf: 0.865 0.865 0.000
Te: 0.115 0.344 0.771
Te: 0.427 0.656 0.771
Te: 0.500 0.000 0.500
Te: 0.573 0.344 0.229
Te: 0.885 0.656 0.229
H: 0.037 0.037 0.000
H: 0.963 0.963 0.000

Output
As for the theoretical density: 8.34 g cm⁻³. Its symmetry is Immm (71). The value obtained for the electronic total energy is -6.066 eV per atom. The calculation puts the size of the total moment at 0.00 μB/cell.